Density functional theory data (PBE) for crystalline CuSi2Au at its relaxed geometry.

Computed properties:
For the distance to the lowest polymorph of the same formula, the calculation gives 0.362 eV per atom. Its formation energy without anion corrections is 36.6 kJ per mole of atoms. The calculation puts the total energy at -4.1758 eV per atom. For the density of states at the Fermi level, the calculation gives 1.65 states/eV/f.u.

Unit cell a=4.441 b=4.441 c=4.441 alpha=60.00 beta=60.00 gamma=60.00
Fractional coordinates of all 4 atoms:
Cu: 0.000 0.000 0.000
Si: 0.250 0.250 0.250
Si: 0.500 0.500 0.500
Au: 0.750 0.750 0.750